[1]
First-principles (PBE) data for crystalline RePbBr at its relaxed geometry, as listed in the Alexandria database.

DOS at the Fermi energy (states/eV/atom): 0.95
ρ (Mg/m³): 10.591
Space-group type: F-43m
Relative energy among the computed polymorphs (meV/atom): 446.3
Uncorrected formation energy (eV per formula unit): 3.54

abc: 4.7169 4.7169 4.7169
angles: 60.00 60.00 60.00
With the nearest neighbours (Å) after each atom.
Element x y z (fractional)
Re 0.0000 0.0000 0.0000  4 Br 2.89, 4 Pb 2.89
Pb 0.2500 0.2500 0.2500  4 Re 2.89
Br 0.7500 0.7500 0.7500  4 Re 2.89



[2]
First-principles (PBE) data for crystalline Be3P at its relaxed geometry, as listed in the Alexandria database.

DOS at the Fermi energy (states/eV/atom): 0.28
ρ (Mg/m³): 2.440
Space-group type: P4/mmm
Relative energy among the computed polymorphs (meV/atom): 148.8
Formation enthalpy at 0 K (kJ/mol of atoms): 34.5

abc: 2.4366 2.4366 6.6492
angles: 90.00 90.00 90.00
With the nearest neighbours (Å) after each atom.
Element x y z (fractional)
Be 0.0000 0.0000 0.0000  12 Be 2.18-2.44
Be 0.5000 0.5000 0.2017  8 Be 2.18-2.44
Be 0.5000 0.5000 0.7983  8 Be 2.18-2.44
P 0.0000 0.0000 0.5000  4 P 2.44, 8 Be 2.63



[3]
First-principles (PBE) data for crystalline CsTl2Cd at its relaxed geometry, as listed in the Alexandria database.

DOS at the Fermi energy (states/eV/atom): 0.55
ρ (Mg/m³): 6.569
Space-group type: R3m
Relative energy among the computed polymorphs (meV/atom): 13.8
Formation enthalpy at 0 K (kJ/mol of atoms): -5.8

abc: 7.9264 7.9264 7.9264
angles: 37.48 37.48 37.48
With the nearest neighbours (Å) after each atom.
Element x y z (fractional)
Cs 0.0000 0.0000 0.0000  1 Cd 3.90, 6 Tl 3.97-4.00
Tl 0.5457 0.5457 0.5457  3 Cd 3.04
Tl 0.7892 0.7892 0.7892  3 Cd 3.17, 3 Tl 3.55
Cd 0.1766 0.1766 0.1766  6 Tl 3.04-3.17



[4]
First-principles (PBE) data for crystalline LiCd6Ga at its relaxed geometry, as listed in the Alexandria database.

DOS at the Fermi energy (states/eV/atom): 0.42
ρ (Mg/m³): 7.322
Space-group type: P4/mmm
Relative energy among the computed polymorphs (meV/atom): 0.0
Formation enthalpy at 0 K (kJ/mol of atoms): -4.5

abc: 4.3272 4.3272 9.0976
angles: 90.00 90.00 90.00
With the nearest neighbours (Å) after each atom.
Element x y z (fractional)
Li 0.0000 0.0000 0.0000  12 Cd 3.06-3.10
Cd 0.0000 0.5000 0.2443  8 Cd 3.06-3.18, 2 Li 3.10, 2 Ga 3.18
Cd 0.0000 0.5000 0.7557  8 Cd 3.06-3.18, 2 Li 3.10, 2 Ga 3.18
Cd 0.5000 0.0000 0.2443  8 Cd 3.06-3.18, 2 Li 3.10, 2 Ga 3.18
Cd 0.5000 0.0000 0.7557  8 Cd 3.06-3.18, 2 Li 3.10, 2 Ga 3.18
Cd 0.5000 0.5000 0.0000  4 Li 3.06, 8 Cd 3.10
Cd 0.5000 0.5000 0.5000  4 Ga 3.06, 8 Cd 3.18
Ga 0.0000 0.0000 0.5000  12 Cd 3.06-3.18



[5]
First-principles (PBE) data for crystalline CsP2C at its relaxed geometry, as listed in the Alexandria database.

DOS at the Fermi energy (states/eV/atom): 0.35
ρ (Mg/m³): 3.998
Space-group type: I-42d
Formation enthalpy at 0 K (kJ/mol of atoms): 71.3

abc: 6.1100 6.1100 6.1100
angles: 114.58 114.58 99.67
With the nearest neighbours (Å) after each atom.
Element x y z (fractional)
Cs 0.0000 0.0000 0.0000  8 P 3.33-3.43
Cs 0.7500 0.2500 0.5000  8 P 3.33-3.43
P 0.2874 0.6250 0.1624  2 C 2.01
P 0.3750 0.5374 0.6624  2 C 2.01
P 0.4626 0.1250 0.8376  2 C 2.01
P 0.8750 0.7126 0.3376  2 C 2.01
C 0.2500 0.7500 0.5000  4 P 2.01
C 0.5000 0.5000 0.0000  4 P 2.01



[6]
First-principles (PBE) data for crystalline SrZrI2O at its relaxed geometry, as listed in the Alexandria database.

DOS at the Fermi energy (states/eV/atom): 1.13
ρ (Mg/m³): 4.404
Space-group type: P4/mmm
Relative energy among the computed polymorphs (meV/atom): 1026.6
Uncorrected formation energy (eV per formula unit): -1.76

abc: 6.2997 6.2997 4.2623
angles: 90.00 90.00 90.00
With the nearest neighbours (Å) after each atom.
Element x y z (fractional)
Sr 0.0000 0.0000 0.0000  2 O 2.13
Zr 0.5000 0.5000 0.5000  8 I 3.80
I 0.0000 0.5000 0.0000  2 Sr 3.15
I 0.5000 0.0000 0.0000  2 Sr 3.15
O 0.0000 0.0000 0.5000  2 Sr 2.13



[7]
First-principles (PBE) data for crystalline Tc2PBr at its relaxed geometry, as listed in the Alexandria database.

DOS at the Fermi energy (states/eV/atom): 0.97
ρ (Mg/m³): 7.577
Space-group type: Imm2
Relative energy among the computed polymorphs (meV/atom): 150.5
Uncorrected formation energy (eV per formula unit): 0.35

abc: 7.0587 7.0587 7.0587
angles: 154.76 153.32 37.06
With the nearest neighbours (Å) after each atom.
Element x y z (fractional)
Tc 0.0000 0.0000 0.0000  4 P 2.40
Tc 0.8176 0.3176 0.5000  2 P 2.28
P 0.4364 0.4364 0.0000  6 Tc 2.28-2.40
Br 0.1761 0.6761 0.5000  6 Tc 2.82-2.94, 2 Br 3.08



[8]
First-principles (PBE) data for crystalline Ca3BiSe at its relaxed geometry, as listed in the Alexandria database.

DOS at the Fermi energy (states/eV/atom): 1.06
ρ (Mg/m³): 4.023
Space-group type: Pm-3m
Relative energy among the computed polymorphs (meV/atom): 0.0
Uncorrected formation energy (eV per formula unit): -4.82

abc: 5.5229 5.5229 5.5229
angles: 90.00 90.00 90.00
With the nearest neighbours (Å) after each atom.
Element x y z (fractional)
Ca 0.0000 0.0000 0.5000  2 Se 2.76
Ca 0.0000 0.5000 0.0000  2 Se 2.76
Ca 0.5000 0.0000 0.0000  2 Se 2.76
Bi 0.5000 0.5000 0.5000  12 Ca 3.91
Se 0.0000 0.0000 0.0000  6 Ca 2.76



| no. | raw total energy (eV/atom) |
| --- | --- |
| 1 | -4.76 |
| 2 | -3.79 |
| 3 | -1.69 |
| 4 | -1.35 |
| 5 | -4.49 |
| 6 | -4.01 |
| 7 | -6.87 |
| 8 | -3.64 |